Density functional theory data (PBE) for a geometry-optimized LiSc2Br structure.

Summary:
- formation energy without anion corrections (eV per atom) = -0.08
- space-group type = I4/mmm
- distance to the lowest polymorph of the same formula (eV per formula unit) = 1.37
- crystal system = tetragonal

```
LiSc2Br
1.0
5.765 -0.033 0.000
2.607 5.141 0.000
-4.186 -2.554 3.031
Br Li Sc
1 1 2
direct
0.250 0.750 0.500
0.750 0.250 0.500
0.000 0.000 0.000
0.500 0.500 0.000
```



Density functional theory data (PBE) for a geometry-optimized Tc2AgRu structure.

Summary:
- space-group type = I-42d
- distance to the lowest polymorph of the same formula (eV per formula unit) = 2.55
- crystal system = tetragonal

```
Tc2AgRu
1.0
7.196 0.000 0.000
0.000 7.196 0.000
3.598 3.598 2.645
Ru Tc Ag
2 4 2
direct
0.500 0.500 0.000
0.250 0.750 0.500
0.575 0.125 0.250
0.175 0.625 0.250
0.375 0.425 0.750
0.875 0.825 0.750
0.000 0.000 0.000
0.750 0.250 0.500
```



Density functional theory data (PBE) for a geometry-optimized TaCd2Si structure.

Summary:
- formation energy without anion corrections (eV per atom) = 0.16
- space-group type = P4mm
- crystal system = tetragonal

```
TaCd2Si
1.0
-2.268 -2.067 1.487
0.916 -2.521 -2.106
4.718 -1.988 4.432
Cd Si Ta
2 1 1
direct
0.000 0.000 0.984
0.500 0.500 0.256
0.000 0.000 0.565
0.500 0.500 0.695
```



Density functional theory data (PBE) for a geometry-optimized Ba2NaTcN4 structure.

Summary:
- formation energy without anion corrections (eV per atom) = -0.57
- space-group type = Pmmn
- crystal system = orthorhombic

```
Ba2NaTcN4
1.0
6.068 0.000 0.000
0.000 6.443 0.000
0.000 0.000 7.954
Ba Na Tc N
4 2 2 8
direct
0.500 0.226 0.247
0.500 0.226 0.753
0.000 0.774 0.747
0.000 0.774 0.253
0.000 0.240 0.500
0.500 0.760 0.000
0.500 0.791 0.500
0.000 0.209 0.000
0.241 0.036 0.000
0.741 0.964 0.500
0.260 0.965 0.500
0.760 0.035 0.000
0.499 0.640 0.694
0.999 0.360 0.194
0.999 0.360 0.806
0.499 0.640 0.306
```



The evaluated raw total energy for the records listed, in turn: -4.1420 -7.3424 -4.6123 -6.6729 eV per atom.